#P
Ho8TcHg2 | PBE | relaxed

a b c (Å): 5.2747 6.9064 9.0876
angles (deg): 108.56 106.87 90.00
With the nearest neighbours (Å) after each atom.
Element x y z (fractional)
1 Hg 0.1836 0.7068 0.3673  5 Ho 2.95-3.26
2 Hg 0.8164 0.2932 0.6327  5 Ho 2.95-3.26
3 Ho 0.4081 0.5742 0.8161  1 Tc 2.84
4 Ho 0.1951 0.2899 0.3902  1 Hg 2.95
5 Ho 0.8049 0.7101 0.6098  1 Hg 2.95
6 Ho 0.6554 0.9537 0.3108  1 Tc 2.83, 1 Hg 2.99
7 Ho 0.3446 0.0463 0.6892  1 Tc 2.83, 1 Hg 2.99
8 Ho 0.9772 0.2088 0.9543  1 Hg 3.04, 2 Tc 3.09, 3 Ho 3.24-3.35
9 Ho 0.5919 0.4258 0.1839  1 Tc 2.84
10 Ho 0.0228 0.7912 0.0457  1 Hg 3.04, 2 Tc 3.09, 3 Ho 3.24-3.35
11 Tc 0.5000 0.0000 0.0000  8 Ho 2.83-3.09

## Properties
SG: No. 12
DOS(E_F): 0.6059 states/eV/atom
Size of the total moment: 0.00 Bohr magnetons per cell


#Q
Ho8TcHg2 | PBE | relaxed

a b c (Å): 5.0436 8.3549 8.5429
angles (deg): 119.28 107.17 90.00
With the nearest neighbours (Å) after each atom.
Element x y z (fractional)
1 Ho 0.6490 0.4184 0.2981  1 Tc 3.07, 3 Hg 3.09-3.25, 4 Ho 3.31-3.40
2 Ho 0.0000 0.3294 0.0000  1 Ho 2.85, 2 Hg 3.14
3 Ho 0.0000 0.6706 0.0000  1 Ho 2.85, 2 Hg 3.14
4 Ho 0.3510 0.1203 0.7020  1 Tc 3.07, 3 Hg 3.09-3.25, 4 Ho 3.31-3.40
5 Ho 0.1218 0.1218 0.2436  2 Tc 3.05, 6 Ho 3.24-3.40
6 Ho 0.6490 0.8797 0.2980  1 Tc 3.07, 3 Hg 3.09-3.25, 4 Ho 3.31-3.40
7 Ho 0.8782 0.8782 0.7563  2 Tc 3.05, 6 Ho 3.24-3.40
8 Ho 0.3510 0.5816 0.7019  1 Tc 3.07, 3 Hg 3.09-3.25, 4 Ho 3.31-3.40
9 Hg 0.8004 0.3004 0.6008  8 Ho 3.09-3.25
10 Hg 0.1996 0.6996 0.3992  8 Ho 3.09-3.25
11 Tc 0.5000 0.0000 0.0000  8 Ho 3.05-3.07

## Properties
SG: No. 71
DOS(E_F): 0.6930 states/eV/atom
Size of the total moment: 0.00 Bohr magnetons per cell


Of them, #Q has the lowest stability.


#P
Ho4HgTe | PBE | relaxed

a b c (Å): 3.9331 8.4684 20.0099
angles (deg): 90.00 90.00 90.00
With the nearest neighbours (Å) after each atom.
Element x y z (fractional)
1 Ho 0.2500 0.1614 0.3417  2 Hg 3.06, 2 Te 3.25
2 Ho 0.2500 0.6614 0.1583  2 Hg 3.06, 2 Te 3.25
3 Ho 0.7500 0.4847 0.2823  4 Te 3.21-3.26, 6 Ho 3.50-3.57
4 Ho 0.2500 0.5153 0.7177  4 Te 3.21-3.26, 6 Ho 3.50-3.57
5 Ho 0.7500 0.9742 0.9265  3 Hg 3.09-3.14, 1 Te 3.16
6 Ho 0.2500 0.1220 0.5652  3 Hg 3.12-3.15, 2 Te 3.24
7 Ho 0.7500 0.3780 0.0652  3 Hg 3.12-3.15, 2 Te 3.24
8 Ho 0.2500 0.0258 0.0735  3 Hg 3.09-3.14, 1 Te 3.16
9 Ho 0.2500 0.0153 0.7823  4 Te 3.21-3.26, 6 Ho 3.50-3.57
10 Ho 0.7500 0.9847 0.2177  4 Te 3.21-3.26, 6 Ho 3.50-3.57
11 Ho 0.7500 0.8780 0.4348  3 Hg 3.12-3.15, 2 Te 3.24
12 Ho 0.2500 0.6220 0.9348  3 Hg 3.12-3.15, 2 Te 3.24
13 Ho 0.7500 0.8386 0.6583  2 Hg 3.06, 2 Te 3.25
14 Ho 0.7500 0.3386 0.8417  2 Hg 3.06, 2 Te 3.25
15 Ho 0.7500 0.4742 0.5735  3 Hg 3.09-3.14, 1 Te 3.16
16 Ho 0.2500 0.5258 0.4265  3 Hg 3.09-3.14, 1 Te 3.16
17 Te 0.2500 0.7840 0.3122  9 Ho 3.16-3.26
18 Te 0.7500 0.2160 0.6878  9 Ho 3.16-3.26
19 Te 0.2500 0.2840 0.1878  9 Ho 3.16-3.26
20 Te 0.7500 0.7160 0.8122  9 Ho 3.16-3.26
21 Hg 0.7500 0.7442 0.0464  8 Ho 3.06-3.15
22 Hg 0.7500 0.2442 0.4536  8 Ho 3.06-3.15
23 Hg 0.2500 0.2558 0.9536  8 Ho 3.06-3.15
24 Hg 0.2500 0.7558 0.5464  8 Ho 3.06-3.15

## Properties
SG: No. 62
DOS(E_F): 0.9995 states/eV/atom
Size of the total moment: 0.00 Bohr magnetons per cell


#Q
Ho4HgTe | PBE | relaxed

a b c (Å): 6.0193 7.9122 8.2915
angles (deg): 90.00 90.00 107.12
With the nearest neighbours (Å) after each atom.
Element x y z (fractional)
1 Ho 0.6084 0.4873 0.7500  1 Hg 2.91
2 Ho 0.0252 0.7443 0.4527  2 Hg 3.03-3.04, 2 Te 3.05-3.08, 1 Ho 3.36
3 Ho 0.4312 0.0066 0.7500  2 Te 3.03-3.14, 1 Hg 3.24
4 Ho 0.9748 0.2557 0.5473  2 Hg 3.03-3.04, 2 Te 3.05-3.08, 1 Ho 3.36
5 Ho 0.9748 0.2557 0.9527  2 Hg 3.03-3.04, 2 Te 3.05-3.08, 1 Ho 3.36
6 Ho 0.3916 0.5127 0.2500  1 Hg 2.91
7 Ho 0.0252 0.7443 0.0473  2 Hg 3.03-3.04, 2 Te 3.05-3.08, 1 Ho 3.36
8 Ho 0.5688 0.9934 0.2500  2 Te 3.03-3.14, 1 Hg 3.24
9 Te 0.8868 0.9167 0.7500  7 Ho 3.03-3.32
10 Te 0.1132 0.0833 0.2500  7 Ho 3.03-3.32
11 Hg 0.8226 0.4164 0.2500  6 Ho 2.91-3.24
12 Hg 0.1774 0.5836 0.7500  6 Ho 2.91-3.24

## Properties
SG: No. 11
DOS(E_F): 0.9662 states/eV/atom
Size of the total moment: 0.00 Bohr magnetons per cell


Of them, #Q has the lowest stability.


#P
Ho2HgTe | PBE | relaxed

a b c (Å): 3.8542 3.8542 7.0484
angles (deg): 90.00 90.00 90.00
With the nearest neighbours (Å) after each atom.
Element x y z (fractional)
1 Ho 0.0000 0.0000 0.7508  4 Hg 3.24, 4 Te 3.25, 2 Ho 3.51-3.54
2 Ho 0.0000 0.0000 0.2492  4 Hg 3.24, 4 Te 3.25, 2 Ho 3.51-3.54
3 Hg 0.5000 0.5000 0.0000  8 Ho 3.24, 2 Te 3.52
4 Te 0.5000 0.5000 0.5000  8 Ho 3.25, 2 Hg 3.52

## Properties
SG: No. 123
DOS(E_F): 1.0609 states/eV/atom
Size of the total moment: 0.35 Bohr magnetons per cell


#Q
Ho2HgTe | PBE | relaxed

a b c (Å): 4.1137 4.1204 8.1358
angles (deg): 104.61 90.00 119.95
With the nearest neighbours (Å) after each atom.
Element x y z (fractional)
1 Hg 0.5000 0.5000 0.0000  6 Ho 3.06
2 Ho 0.7511 0.0022 0.7534  3 Hg 3.06, 3 Te 3.09
3 Ho 0.2489 0.9978 0.2466  3 Hg 3.06, 3 Te 3.09
4 Te 0.0000 0.5000 0.5000  6 Ho 3.09

## Properties
SG: No. 12
DOS(E_F): 0.4851 states/eV/atom
Size of the total moment: 0.00 Bohr magnetons per cell


Of them, #P has the lowest stability.


#P
HoHgTe2 | PBE | relaxed

a b c (Å): 4.4672 4.4673 27.7345
angles (deg): 90.00 90.00 60.00
With the nearest neighbours (Å) after each atom.
Element x y z (fractional)
1 Te 0.6669 0.3375 0.4402  1 Hg 2.96, 3 Ho 3.07
2 Te 0.9956 0.6669 0.1069  1 Hg 2.96, 3 Ho 3.07
3 Te 0.6625 0.3331 0.2264  1 Hg 2.96, 3 Ho 3.07
4 Te 0.3331 0.0044 0.5598  1 Hg 2.96, 3 Ho 3.07
5 Te 0.3375 0.9956 0.7736  1 Hg 2.96, 3 Ho 3.07
6 Te 0.0044 0.6625 0.8931  1 Hg 2.96, 3 Ho 3.07
7 Hg 0.0000 0.6639 0.0000  2 Te 2.96
8 Hg 0.6639 0.3361 0.3333  2 Te 2.96
9 Hg 0.3361 0.0000 0.6667  2 Te 2.96
10 Ho 0.3289 0.0000 0.1667  6 Te 3.07
11 Ho 0.0000 0.6711 0.5000  6 Te 3.07
12 Ho 0.6711 0.3289 0.8333  6 Te 3.07

## Properties
SG: No. 154
DOS(E_F): 0.7281 states/eV/atom
Size of the total moment: 0.00 Bohr magnetons per cell


#Q
HoHgTe2 | PBE | relaxed

a b c (Å): 4.3861 4.3861 8.2544
angles (deg): 74.59 74.59 60.00
With the nearest neighbours (Å) after each atom.
Element x y z (fractional)
1 Te 0.2597 0.2597 0.2208  3 Ho 3.06, 3 Hg 3.36
2 Te 0.0749 0.0749 0.7754  3 Ho 3.10, 3 Hg 3.32
3 Ho 0.6659 0.6659 0.0023  6 Te 3.06-3.10
4 Hg 0.4995 0.4995 0.5015  6 Te 3.32-3.36

## Properties
SG: No. 160
DOS(E_F): 0.5595 states/eV/atom
Size of the total moment: 0.00 Bohr magnetons per cell


Of them, #P has the lowest stability.


#P
Ho7Hg2Te2 | PBE | relaxed

a b c (Å): 6.7429 7.6055 6.7429
angles (deg): 89.93 106.40 90.07
With the nearest neighbours (Å) after each atom.
Element x y z (fractional)
1 Ho 0.5007 0.7172 0.0003  2 Te 2.97, 2 Hg 3.21, 1 Ho 3.30
2 Ho 0.4993 0.2828 0.9997  2 Te 2.97, 2 Hg 3.21, 1 Ho 3.30
3 Ho 0.9997 0.7172 0.4993  2 Te 2.97, 2 Hg 3.21, 1 Ho 3.30
4 Ho 0.0000 0.0000 0.0000  2 Te 3.04
5 Ho 0.4999 0.7305 0.5001  2 Hg 3.11, 2 Te 3.12, 4 Ho 3.37
6 Ho 0.0003 0.2828 0.5007  2 Te 2.97, 2 Hg 3.21, 1 Ho 3.30
7 Ho 0.5001 0.2695 0.4999  2 Hg 3.11, 2 Te 3.12, 4 Ho 3.37
8 Te 0.2818 0.9996 0.7182  7 Ho 2.97-3.12
9 Te 0.7182 0.0004 0.2818  7 Ho 2.97-3.12
10 Hg 0.8186 0.5000 0.8186  1 Hg 2.93, 6 Ho 3.11-3.21
11 Hg 0.1814 0.5000 0.1814  1 Hg 2.93, 6 Ho 3.11-3.21

## Properties
SG: No. 12
DOS(E_F): 1.0828 states/eV/atom
Size of the total moment: 0.00 Bohr magnetons per cell


#Q
Ho7Hg2Te2 | PBE | relaxed

a b c (Å): 4.3107 9.2362 9.2362
angles (deg): 62.78 76.51 76.51
With the nearest neighbours (Å) after each atom.
Element x y z (fractional)
1 Ho 0.1841 0.7121 0.9196  3 Hg 2.96-3.18, 1 Te 3.11
2 Ho 0.8159 0.0804 0.2879  3 Hg 2.96-3.18, 1 Te 3.11
3 Ho 0.5000 0.0133 0.9867  3 Te 3.30-3.31, 2 Hg 3.62
4 Ho 0.6259 0.4847 0.2635  2 Hg 3.04, 3 Te 3.10-3.19
5 Ho 0.3741 0.7365 0.5153  2 Hg 3.04, 3 Te 3.10-3.19
6 Ho 0.8621 0.4033 0.8725  2 Hg 3.08, 2 Te 3.13
7 Ho 0.1379 0.1275 0.5967  2 Hg 3.08, 2 Te 3.13
8 Te 0.5000 0.3572 0.6428  7 Ho 3.10-3.31
9 Te 0.0000 0.7535 0.2465  8 Ho 3.11-3.30
10 Hg 0.2668 0.3259 0.1405  7 Ho 2.96-3.18
11 Hg 0.7332 0.8595 0.6741  7 Ho 2.96-3.18

## Properties
SG: No. 44
DOS(E_F): 0.9307 states/eV/atom
Size of the total moment: 0.00 Bohr magnetons per cell


Of them, #P has the lowest stability.


#P
HoHgTe | PBE | relaxed

a b c (Å): 4.9766 4.9766 8.8090
angles (deg): 73.59 73.59 60.00
With the nearest neighbours (Å) after each atom.
Element x y z (fractional)
1 Te 0.2872 0.2872 0.1384  4 Ho 3.06-3.36, 1 Hg 3.28
2 Te 0.7128 0.7128 0.8616  4 Ho 3.06-3.36, 1 Hg 3.28
3 Hg 0.1558 0.1558 0.5327  3 Hg 2.92
4 Hg 0.8442 0.8442 0.4673  3 Hg 2.92
5 Ho 0.5784 0.5784 0.2648  4 Te 3.06-3.36, 3 Hg 3.33
6 Ho 0.4216 0.4216 0.7352  4 Te 3.06-3.36, 3 Hg 3.33

## Properties
SG: No. 166
DOS(E_F): 0.2437 states/eV/atom
Size of the total moment: 0.00 Bohr magnetons per cell


#Q
HoHgTe | PBE | relaxed

a b c (Å): 4.2638 4.2654 6.1992
angles (deg): 90.00 90.00 90.00
With the nearest neighbours (Å) after each atom.
Element x y z (fractional)
1 Ho 0.0900 0.7723 0.0000  4 Te 3.02, 2 Hg 3.10
2 Te 0.5899 0.2723 0.0000  4 Ho 3.02
3 Hg 0.0910 0.7723 0.5000  2 Ho 3.10

## Properties
SG: No. 123
DOS(E_F): 0.6373 states/eV/atom
Size of the total moment: 0.00 Bohr magnetons per cell


Of them, #Q has the lowest stability.